The following is a DFT calculation (GGA+U) of a geometry-optimized VO2 structure.

abc: 5.084 5.084 6.343
angles: 90.00 90.00 68.09
Positions (direct):
V (0.000, 0.000, 0.500)
V (0.644, 0.644, 0.750)
V (0.356, 0.356, 0.250)
V (0.000, 0.000, 0.000)
O (0.210, 0.739, 0.250)
O (0.739, 0.210, 0.250)
O (0.261, 0.790, 0.750)
O (0.765, 0.765, 0.536)
O (0.765, 0.765, 0.964)
O (0.790, 0.261, 0.750)
O (0.235, 0.235, 0.036)
O (0.235, 0.235, 0.464)

Properties
- Calculated total energy: -23.2 eV per formula unit
- V: 152.1 Å³/cell
- Space-group type: Cmcm (63)